# AgIr2Se | the Alexandria database | PBE-GGA | optimized geometry
data_AgIr2Se
_chemical_formula_sum 'Ag2 Ir4 Se2'
_space_group_name_H-M_alt 'C m m m'
_space_group_IT_number 65
_space_group_name_Hall '-C 2 2'
_cell_length_a 2.8401
_cell_length_b 4.8962
_cell_length_c 9.3201
_cell_angle_alpha 90.00
_cell_angle_beta 90.00
_cell_angle_gamma 90.00
loop_
_atom_site_label
_atom_site_type_symbol
_atom_site_fract_x
_atom_site_fract_y
_atom_site_fract_z
Ag1 Ag 0.0000 0.0000 0.0000
Ir1 Ir 0.0000 0.5000 0.2618
Se1 Se 0.0000 0.0000 0.5000
# **Size of the total moment**: 0.00 μB/f.u.
# **DFT total energy**: -5.443 eV per atom

---

# AgIr2Se | the Alexandria database | PBE-GGA | optimized geometry
data_AgIr2Se
_chemical_formula_sum 'Ag3 Ir6 Se3'
_space_group_name_H-M_alt 'R 3 m'
_space_group_IT_number 160
_space_group_name_Hall 'R 3 -2"'
_cell_length_a 2.8918
_cell_length_b 2.8918
_cell_length_c 27.7237
_cell_angle_alpha 90.00
_cell_angle_beta 90.00
_cell_angle_gamma 120.00
loop_
_atom_site_label
_atom_site_type_symbol
_atom_site_fract_x
_atom_site_fract_y
_atom_site_fract_z
Ag1 Ag 0.0000 0.0000 0.0000
Ir1 Ir 0.0000 0.0000 0.2484
Ir2 Ir 0.0000 0.0000 0.5042
Se1 Se 0.0000 0.0000 0.7661
# **Size of the total moment**: 0.66 μB/f.u.
# **DFT total energy**: -5.645 eV per atom

---

For reference, volume by record: 64.8, 66.9 Å³/f.u..